# 1
Here is a relaxed structure of NpUTa from OQMD. Energies are from PBE-GGA.

abc: 4.521 4.521 4.521
angles: 60.00 60.00 60.00
Sites, in units of the cell vectors:
1 Np 0.000 0.000 0.000
2 U 0.250 0.250 0.250
3 Ta 0.500 0.500 0.500

Output
The energy of formation is 252 kJ/mol of formula units.

---

# 2
Here is a relaxed structure of YNpTa from OQMD. Energies are from PBE-GGA.

abc: 4.764 4.764 4.764
angles: 60.00 60.00 60.00
Sites, in units of the cell vectors:
1 Y 0.000 0.000 0.000
2 Np 0.750 0.750 0.750
3 Ta 0.500 0.500 0.500

Output
The energy of formation is 430 kJ/mol of formula units.

---

# 3
Here is a relaxed structure of NpTaZn from OQMD. Energies are from PBE-GGA.

abc: 4.507 4.507 4.507
angles: 60.00 60.00 60.00
Sites, in units of the cell vectors:
1 Np 0.000 0.000 0.000
2 Ta 0.250 0.250 0.250
3 Zn 0.750 0.750 0.750

Output
The energy of formation is 409 kJ/mol of formula units.

---

# 4
Here is a relaxed structure of NpTaZn from OQMD. Energies are from PBE-GGA.

abc: 4.452 4.452 4.452
angles: 60.00 60.00 60.00
Sites, in units of the cell vectors:
1 Np 0.000 0.000 0.000
2 Ta 0.500 0.500 0.500
3 Zn 0.250 0.250 0.250

Output
The energy of formation is 269 kJ/mol of formula units.

---

# 5
Here is a relaxed structure of Tb2Np from OQMD. Energies are from PBE-GGA.

abc: 8.543 8.543 8.543
angles: 60.00 60.00 60.00
Sites, in units of the cell vectors:
1 Tb 0.000 0.000 0.000
2 Tb 0.000 0.000 0.500
3 Tb 0.000 0.500 0.000
4 Tb 0.500 0.000 0.000
5 Np 0.125 0.125 0.125
6 Np 0.875 0.875 0.875

Output
The energy of formation is 774 kJ/mol of formula units.

---

# 6
Here is a relaxed structure of TbNpTe from OQMD. Energies are from PBE-GGA.

abc: 5.084 5.084 5.084
angles: 60.00 60.00 60.00
Sites, in units of the cell vectors:
1 Tb 0.000 0.000 0.000
2 Np 0.500 0.500 0.500
3 Te 0.750 0.750 0.750

---

Total DFT energy (no corrections), respectively: -11.10; -8.88; -7.22; -7.70; -4.67; -6.92 eV per atom.